{
  "formula": "Tl2GaF8",
  "functional": "PBE",
  "state": "optimized geometry",
  "cell": [[4.778, -3.667, 0.000], [4.778, 3.667, 0.000], [-1.528, 0.000, 4.413]],
  "species": ["Tl", "Tl", "Ga", "F", "F", "F", "F", "F", "F", "F", "F"],
  "frac_coords": [[0.168, 0.168, 0.363], [0.832, 0.832, 0.637], [0.500, 0.500, 0.000], [0.087, 0.087, 0.799], [0.184, 0.548, 0.743], [0.378, 0.378, 0.241], [0.452, 0.816, 0.257], [0.548, 0.184, 0.743], [0.622, 0.622, 0.759], [0.816, 0.452, 0.257], [0.913, 0.913, 0.201]],
  "crystal_system": "monoclinic",
  "n_ef_per_ev_cell": 1.491,
  "raw_formation_energy_ev_per_atom": -2.07,
  "spacegroup": "No. 12"
}

---

{
  "formula": "CoTc2Te",
  "functional": "PBE",
  "state": "optimized geometry",
  "cell": [[-1.610, 2.186, 4.254], [1.610, -2.186, 4.254], [1.610, 2.186, -4.254]],
  "species": ["Co", "Tc", "Tc", "Te"],
  "frac_coords": [[0.000, 0.000, 0.000], [0.261, 0.761, 0.500], [0.532, 0.532, 0.000], [0.783, 0.283, 0.500]],
  "crystal_system": "orthorhombic",
  "n_ef_per_ev_cell": 3.736,
  "raw_formation_energy_ev_per_atom": 0.38,
  "spacegroup": "No. 44"
}

---

Q: What is the formula in the first record?
A: Tl2GaF8

---

Repeat the first record exactly.
{
  "formula": "Tl2GaF8",
  "functional": "PBE",
  "state": "optimized geometry",
  "cell": [[4.778, -3.667, 0.000], [4.778, 3.667, 0.000], [-1.528, 0.000, 4.413]],
  "species": ["Tl", "Tl", "Ga", "F", "F", "F", "F", "F", "F", "F", "F"],
  "frac_coords": [[0.168, 0.168, 0.363], [0.832, 0.832, 0.637], [0.500, 0.500, 0.000], [0.087, 0.087, 0.799], [0.184, 0.548, 0.743], [0.378, 0.378, 0.241], [0.452, 0.816, 0.257], [0.548, 0.184, 0.743], [0.622, 0.622, 0.759], [0.816, 0.452, 0.257], [0.913, 0.913, 0.201]],
  "crystal_system": "monoclinic",
  "n_ef_per_ev_cell": 1.491,
  "raw_formation_energy_ev_per_atom": -2.07,
  "spacegroup": "No. 12"
}

---

Please write out number 2 again, unchanged.
{
  "formula": "CoTc2Te",
  "functional": "PBE",
  "state": "optimized geometry",
  "cell": [[-1.610, 2.186, 4.254], [1.610, -2.186, 4.254], [1.610, 2.186, -4.254]],
  "species": ["Co", "Tc", "Tc", "Te"],
  "frac_coords": [[0.000, 0.000, 0.000], [0.261, 0.761, 0.500], [0.532, 0.532, 0.000], [0.783, 0.283, 0.500]],
  "crystal_system": "orthorhombic",
  "n_ef_per_ev_cell": 3.736,
  "raw_formation_energy_ev_per_atom": 0.38,
  "spacegroup": "No. 44"
}

---

Q: Which formula does entry 2 have?
A: CoTc2Te